1.
HfMo, optimized geometry, DFT PBE; energy of formation from the pure elements = 7 meV per atom; total energy = -0.38166 hartree per atom
1.0
-1.293 -2.658 0.735
1.992 -1.962 -3.591
3.690 -2.359 3.335
Mo Hf
2 2
Direct
0.405 0.250 0.389
0.595 0.750 0.611
0.845 0.250 0.862
0.155 0.750 0.138

---

2.
Be2ReMo2Ru5, optimized geometry, DFT PBE; energy of formation from the pure elements = -16 meV per atom; total energy = -0.32375 hartree per atom
1.0
-0.639 2.723 0.991
2.143 -2.709 8.828
9.006 2.615 -1.383
Be Re Mo Ru
4 2 4 10
Direct
0.000 0.880 0.380
0.000 0.380 0.120
0.000 0.120 0.620
0.000 0.620 0.880
0.000 0.000 0.000
0.000 0.500 0.500
0.000 0.176 0.324
0.000 0.324 0.824
0.000 0.676 0.176
0.000 0.824 0.676
0.500 0.210 0.075
0.500 0.925 0.210
0.500 0.710 0.425
0.500 0.290 0.575
0.500 0.500 0.000
0.500 0.575 0.710
0.500 0.000 0.500
0.500 0.425 0.290
0.500 0.075 0.790
0.500 0.790 0.925

---

3.
CaBiIN2, optimized geometry, DFT PBE; E_form (uncorrected) = 1290 meV/atom; total energy = -0.12959 hartree per atom
1.0
-3.770 1.740 -1.947
-2.523 -3.308 1.929
-0.865 3.415 4.725
N Ca Bi I
2 1 1 1
Direct
0.500 0.000 0.000
0.000 0.500 0.000
0.000 0.000 0.000
0.500 0.500 0.500
0.000 0.000 0.500

---

4.
Th2ScTaN5, optimized geometry, DFT PBE; E_form (uncorrected) = -1512 meV/atom; total energy = -0.36040 hartree per atom
1.0
3.480 0.000 0.000
-1.740 6.819 0.000
0.000 0.000 10.524
N Th Ta Sc
10 4 2 2
Direct
0.720 0.440 0.160
0.680 0.360 0.878
0.946 0.892 0.552
0.378 0.756 0.004
0.320 0.640 0.378
0.054 0.108 0.052
0.491 0.981 0.781
0.280 0.560 0.660
0.509 0.019 0.281
0.622 0.244 0.504
0.889 0.777 0.187
0.852 0.705 0.792
0.111 0.223 0.687
0.148 0.295 0.292
0.468 0.937 0.463
0.532 0.063 0.963
0.782 0.564 0.508
0.218 0.436 0.008

---

5.
BaHgAu2, optimized geometry, DFT PBE; energy of formation from the pure elements = -415 meV per atom; total energy = -0.09590 hartree per atom
1.0
-0.092 4.639 2.692
-4.450 1.513 2.586
-0.122 -0.013 5.363
Hg Au Ba
1 2 1
Direct
0.750 0.750 0.750
0.250 0.250 0.250
0.000 0.000 0.000
0.500 0.500 0.500

---

6.
Pr2Ho6Cd, optimized geometry, DFT PBE; energy of formation from the pure elements = 19 meV per atom; total energy = -0.15422 hartree per atom
1.0
5.491 0.000 0.247
0.000 9.824 0.000
-0.461 0.000 10.282
Ho Pr Cd
12 4 2
Direct
0.000 0.982 0.821
0.000 0.639 0.895
0.500 0.482 0.679
0.000 0.361 0.105
0.500 0.518 0.321
0.500 0.180 0.929
0.000 0.018 0.179
0.500 0.861 0.395
0.000 0.679 0.571
0.500 0.139 0.605
0.000 0.321 0.429
0.500 0.820 0.071
0.500 0.191 0.255
0.000 0.309 0.755
0.500 0.809 0.745
0.000 0.691 0.245
0.000 0.000 0.500
0.500 0.500 0.000

---

7.
PaCdN2, optimized geometry, DFT PBE; E_form (uncorrected) = -867 meV/atom; total energy = -0.28049 hartree per atom
1.0
-3.067 -1.630 -1.078
-0.243 -1.382 -3.355
1.124 -6.617 0.673
N Pa Cd
2 1 1
Direct
0.883 0.883 0.351
0.117 0.117 0.649
0.500 0.500 0.500
0.000 0.000 0.000

---

8.
MgZrC3, optimized geometry, DFT PBE; energy of formation from the pure elements = 1807 meV per atom; total energy = -0.21152 hartree per atom
1.0
4.318 0.000 0.000
0.000 4.318 0.000
0.000 0.000 4.318
C Mg Zr
3 1 1
Direct
0.500 0.000 0.000
0.000 0.500 0.000
0.000 0.000 0.500
0.500 0.500 0.500
0.000 0.000 0.000

---

9.
Li3Zn6Ga5, optimized geometry, DFT PBE; energy of formation from the pure elements = -123 meV per atom; total energy = -0.07938 hartree per atom
1.0
4.076 0.000 0.000
0.000 9.244 0.000
0.000 0.000 12.641
Li Zn Ga
6 12 10
Direct
0.500 0.763 0.821
0.000 0.237 0.321
0.500 0.794 0.500
0.000 0.237 0.679
0.000 0.206 0.000
0.500 0.763 0.179
0.500 0.978 0.000
0.500 0.413 0.000
0.500 0.435 0.800
0.000 0.565 0.300
0.000 0.022 0.500
0.500 0.005 0.335
0.000 0.995 0.835
0.000 0.995 0.165
0.500 0.435 0.200
0.500 0.005 0.665
0.000 0.565 0.700
0.000 0.587 0.500
0.000 0.553 0.100
0.500 0.194 0.500
0.000 0.831 0.342
0.500 0.447 0.600
0.500 0.169 0.842
0.000 0.553 0.900
0.000 0.806 0.000
0.500 0.447 0.400
0.000 0.831 0.658
0.500 0.169 0.158

---

10.
Ba3Mg4Zn4, optimized geometry, DFT PBE; energy of formation from the pure elements = -93 meV per atom; total energy = -0.06102 hartree per atom
1.0
7.524 0.000 0.000
-2.508 7.094 0.000
-2.508 -3.547 6.143
Zn Mg Ba
4 4 3
Direct
0.000 0.000 0.618
0.618 0.000 0.000
0.000 0.618 0.000
0.382 0.382 0.382
0.741 0.741 0.741
0.000 0.259 0.000
0.000 0.000 0.259
0.259 0.000 0.000
0.500 0.500 0.000
0.500 0.000 0.500
0.000 0.500 0.500

---

11.
RbLiSc2Tc, optimized geometry, DFT PBE; energy of formation from the pure elements = 435 meV per atom; total energy = -0.17445 hartree per atom
1.0
4.989 0.000 0.000
0.000 5.837 0.000
0.000 0.000 4.989
Sc Rb Tc Li
2 1 1 1
Direct
0.000 0.000 0.500
0.500 0.000 0.000
0.500 0.500 0.500
0.000 0.000 0.000
0.000 0.500 0.000

---

12.
Pm8Se4S3N, optimized geometry, DFT PBE; E_form (uncorrected) = -1858 meV/atom; total energy = -0.23513 hartree per atom
1.0
8.089 0.000 0.000
0.000 8.210 0.079
-4.045 -4.041 5.722
N S Pm Se
1 3 8 4
Direct
0.000 0.500 0.000
0.500 0.500 0.500
0.500 0.500 0.000
0.000 0.500 0.500
0.765 0.715 0.990
0.225 0.715 0.990
0.743 0.729 0.486
0.775 0.285 0.550
0.257 0.271 0.514
0.225 0.715 0.450
0.235 0.285 0.010
0.775 0.285 0.010
0.000 0.000 0.500
0.500 0.000 0.000
0.000 0.000 0.000
0.500 0.000 0.500